{
  "formula": "K4MgZr",
  "functional": "PBE",
  "state": "optimized geometry",
  "cell": [[0.000, 5.173, 5.173], [5.173, 0.000, 5.173], [5.173, 5.173, 0.000]],
  "species": ["K", "K", "K", "K", "Mg", "Zr"],
  "fractional_positions": [[0.125, 0.125, 0.125], [0.125, 0.125, 0.625], [0.125, 0.625, 0.125], [0.625, 0.125, 0.125], [0.750, 0.750, 0.750], [0.500, 0.500, 0.500]],
  "delta_e_f_ev_per_atom": 0.8643,
  "dft_energy_ev_per_atom": -1.56,
  "crystal_system": "cubic",
  "dos_at_fermi_per_ev_cell": 9.616
}